## PrGe2Os (PBE)

Data for a relaxed PrGe2Os crystal.

```
PrGe2Os
1.0
4.249 0.000 0.000
2.125 3.680 0.000
2.125 1.227 5.153
Ge Pr Os
2 1 1
Cartesian
2.125 1.227 1.804 Ge
6.374 3.680 3.349 Ge
0.000 0.000 0.000 Pr
4.249 2.453 2.576 Os
```

Summary:
Space group = No. 166

---

## MnIn2HgAs (PBE)

Data for a relaxed MnIn2HgAs crystal.

```
MnIn2HgAs
1.0
-0.391 -3.770 -3.839
-2.119 -3.221 3.379
-4.897 1.844 -1.313
As Mn In Hg
1 1 2 1
Cartesian
-3.703 -2.573 -0.886 As
-1.059 -1.610 1.689 Mn
-2.448 0.922 -0.656 In
-0.195 -1.885 -1.919 In
0.000 0.000 0.000 Hg
```

Summary:
Space group = No. 123

---

## Ac2TmNi9 (PBE)

Data for a relaxed Ac2TmNi9 crystal.

```
Ac2TmNi9
1.0
-0.688 1.147 -4.860
0.533 -3.559 -3.530
-8.360 -2.757 -2.082
Ni Tm Ac
9 1 2
Cartesian
-6.803 -1.742 -4.677 Ni
-1.711 -3.426 -5.795 Ni
-6.195 -4.086 -4.015 Ni
-6.538 -3.515 -6.435 Ni
-0.067 -0.808 -2.795 Ni
-1.977 -1.654 -4.038 Ni
-2.319 -1.083 -6.458 Ni
-8.448 -4.361 -7.677 Ni
-4.257 -2.584 -5.236 Ni
0.000 0.000 0.000 Tm
-3.517 -3.202 -8.101 Ac
-4.997 -1.966 -2.371 Ac
```

Summary:
Space group = No. 166

---

no.,spin magnetization (μB per cell),VASP energy (eV/atom)
1,0.00,-6.763
2,4.45,-3.148
3,1.15,-5.642